Record 1
A relaxed structure of SrMo2Pb, computed with PBE.

Summary:
Space-group type   Imm2, No. 44
Uncorrected energy   -0.4500 Ry/atom

Unit cell a=3.455 b=5.365 c=10.420 alpha=90.00 beta=90.00 gamma=90.00
Fractional coordinates of all 8 atoms:
Sr: 0.000 0.000 0.000
Sr: 0.500 0.500 0.500
Mo: 0.000 0.000 0.442
Mo: 0.000 0.500 0.780
Mo: 0.500 0.000 0.280
Mo: 0.500 0.500 0.942
Pb: 0.000 0.500 0.210
Pb: 0.500 0.000 0.710

Record 2
A relaxed structure of Ta7Ti2Nb2, computed with PBE.

Summary:
Space-group type   C2/m, No. 12
Uncorrected energy   -0.7764 Ry/atom

Unit cell a=5.186 b=5.186 c=7.994 alpha=91.41 beta=91.41 gamma=106.91
Fractional coordinates of all 11 atoms:
Ta: 0.000 0.000 0.000
Ta: 0.167 0.571 0.145
Ta: 0.297 0.297 0.721
Ta: 0.429 0.833 0.855
Ta: 0.571 0.167 0.145
Ta: 0.703 0.703 0.279
Ta: 0.833 0.429 0.855
Ti: 0.276 0.724 0.500
Ti: 0.724 0.276 0.500
Nb: 0.163 0.163 0.354
Nb: 0.837 0.837 0.646

Record 3
A relaxed structure of HgSN2Cl, computed with PBE.

Summary:
Energy relative to the elements, uncorrected   2.0369 eV/atom
Space-group type   P4/mmm, No. 123
ΔE to the lowest computed polymorph   0 meV/atom

Unit cell a=3.706 b=3.706 c=7.646 alpha=90.00 beta=90.00 gamma=90.00
Fractional coordinates of all 5 atoms:
Hg: 0.000 0.000 0.000
S: 0.500 0.500 0.000
N: 0.000 0.500 0.500
N: 0.500 0.000 0.500
Cl: 0.500 0.500 0.500